Compound: CsNbAuS3
Source: OQMD
Functional: PBE
Structure: optimized geometry

Computed properties:
- mass density (g/cm3) = 5.877
- space-group type = Cmcm
- calculated total energy (eV/atom) = -5.11
- total magnetization (Bohr magnetons per cell) = 1.00

Cell and atoms, written as POSCAR:
```
CsNbAuS3
1.0
8.069 -1.842 0.000
8.069 1.842 0.000
0.000 0.000 9.863
Au Cs Nb S
2 2 2 6
direct
0.551 0.551 0.250 Au
0.449 0.449 0.750 Au
0.253 0.253 0.250 Cs
0.747 0.747 0.750 Cs
0.000 0.000 0.000 Nb
0.000 0.000 0.500 Nb
0.610 0.610 0.028 S
0.939 0.939 0.250 S
0.610 0.610 0.472 S
0.390 0.390 0.528 S
0.061 0.061 0.750 S
0.390 0.390 0.972 S
```

=====

Compound: CsNbAuSe2S
Source: OQMD
Functional: PBE
Structure: optimized geometry

Computed properties:
- mass density (g/cm3) = 6.411
- space-group type = Cmcm
- calculated total energy (eV/atom) = -4.84
- total magnetization (Bohr magnetons per cell) = 1.89

Cell and atoms, written as POSCAR:
```
CsNbAuSe2S
1.0
1.929 -8.190 0.000
1.929 8.190 0.000
0.000 0.000 10.046
Au Cs Nb S Se
2 2 2 2 4
direct
0.961 0.039 0.250 Au
0.039 0.961 0.750 Au
0.250 0.750 0.250 Cs
0.750 0.250 0.750 Cs
0.500 0.500 0.000 Nb
0.500 0.500 0.500 Nb
0.560 0.440 0.250 S
0.440 0.560 0.750 S
0.885 0.115 0.029 Se
0.885 0.115 0.471 Se
0.115 0.885 0.529 Se
0.115 0.885 0.971 Se
```

=====

Compound: CsNbTe2AuS
Source: OQMD
Functional: PBE
Structure: optimized geometry

Computed properties:
- mass density (g/cm3) = 6.523
- space-group type = Cmcm
- calculated total energy (eV/atom) = -4.55
- total magnetization (Bohr magnetons per cell) = 1.74

Cell and atoms, written as POSCAR:
```
CsNbTe2AuS
1.0
2.011 -8.802 0.000
2.011 8.802 0.000
0.000 0.000 10.213
Au Cs Nb S Te
2 2 2 2 4
direct
0.463 0.537 0.250 Au
0.537 0.463 0.750 Au
0.752 0.248 0.250 Cs
0.248 0.752 0.750 Cs
0.000 0.000 0.000 Nb
0.000 0.000 0.500 Nb
0.049 0.951 0.250 S
0.951 0.049 0.750 S
0.382 0.618 0.026 Te
0.382 0.618 0.474 Te
0.618 0.382 0.526 Te
0.618 0.382 0.974 Te
```

=====

Compound: CsNbAuSe3
Source: OQMD
Functional: PBE
Structure: optimized geometry

Computed properties:
- mass density (g/cm3) = 6.720
- space-group type = Cmcm
- calculated total energy (eV/atom) = -4.73
- total magnetization (Bohr magnetons per cell) = 1.56

Cell and atoms, written as POSCAR:
```
CsNbAuSe3
1.0
-8.191 -1.355 1.792
7.132 -1.211 -4.451
2.643 -7.631 6.312
Au Cs Nb Se
2 2 2 6
direct
0.043 0.957 0.250 Au
0.957 0.043 0.750 Au
0.743 0.257 0.250 Cs
0.257 0.743 0.750 Cs
0.500 0.500 0.000 Nb
0.500 0.500 0.500 Nb
0.113 0.887 0.030 Se
0.434 0.566 0.250 Se
0.113 0.887 0.470 Se
0.887 0.113 0.530 Se
0.566 0.434 0.750 Se
0.887 0.113 0.970 Se
```

=====

Compound: CsNbTeAuSe2
Source: OQMD
Functional: PBE
Structure: optimized geometry

Computed properties:
- mass density (g/cm3) = 6.683
- space-group type = Cmcm
- calculated total energy (eV/atom) = -4.61
- total magnetization (Bohr magnetons per cell) = 1.42

Cell and atoms, written as POSCAR:
```
CsNbTeAuSe2
1.0
-7.977 1.740 -3.505
5.749 -4.365 5.180
-2.005 6.753 7.916
Au Cs Nb Se Te
2 2 2 4 2
direct
0.958 0.042 0.250 Au
0.042 0.958 0.750 Au
0.270 0.730 0.250 Cs
0.730 0.270 0.750 Cs
0.500 0.500 0.000 Nb
0.500 0.500 0.500 Nb
0.893 0.107 0.035 Se
0.893 0.107 0.465 Se
0.107 0.893 0.535 Se
0.107 0.893 0.965 Se
0.576 0.424 0.250 Te
0.424 0.576 0.750 Te
```

=====

Compound: CsNbTe2AuSe
Source: OQMD
Functional: PBE
Structure: optimized geometry

Computed properties:
- mass density (g/cm3) = 6.847
- space-group type = Cmcm
- calculated total energy (eV/atom) = -4.45
- total magnetization (Bohr magnetons per cell) = 1.73

Cell and atoms, written as POSCAR:
```
CsNbTe2AuSe
1.0
2.015 -8.651 0.000
2.015 8.651 0.000
0.000 0.000 10.532
Au Cs Nb Se Te
2 2 2 2 4
direct
0.539 0.461 0.250 Au
0.461 0.539 0.750 Au
0.248 0.752 0.250 Cs
0.752 0.248 0.750 Cs
0.000 0.000 0.000 Nb
0.000 0.000 0.500 Nb
0.941 0.059 0.250 Se
0.059 0.941 0.750 Se
0.617 0.383 0.030 Te
0.617 0.383 0.470 Te
0.383 0.617 0.530 Te
0.383 0.617 0.970 Te
```

=====

Compound: CsNdAu3S4
Source: OQMD
Functional: PBE
Structure: optimized geometry

Computed properties:
- mass density (g/cm3) = 5.805
- space-group type = P-43m
- calculated total energy (eV/atom) = -3.97
- total magnetization (Bohr magnetons per cell) = 0.19

Cell and atoms, written as POSCAR:
```
CsNdAu3S4
1.0
6.581 0.000 0.000
0.000 6.581 0.000
0.000 0.000 6.581
Au Cs Nd S
3 1 1 4
direct
0.500 0.500 0.000 Au
0.500 0.000 0.500 Au
0.000 0.500 0.500 Au
0.000 0.000 0.000 Cs
0.500 0.500 0.500 Nd
0.273 0.273 0.273 S
0.727 0.727 0.273 S
0.727 0.273 0.727 S
0.273 0.727 0.727 S
```

=====

Compound: CsNdAu3Se4
Source: OQMD
Functional: PBE
Structure: optimized geometry

Computed properties:
- mass density (g/cm3) = 6.419
- space-group type = P-43m
- calculated total energy (eV/atom) = -3.72
- total magnetization (Bohr magnetons per cell) = 0.15

Cell and atoms, written as POSCAR:
```
CsNdAu3Se4
1.0
-5.584 3.773 0.124
-3.416 -4.956 -3.034
-1.607 -2.577 6.018
Au Cs Nd Se
3 1 1 4
direct
0.500 0.500 0.000 Au
0.500 0.000 0.500 Au
0.000 0.500 0.500 Au
0.000 0.000 0.000 Cs
0.500 0.500 0.500 Nd
0.270 0.270 0.270 Se
0.730 0.730 0.270 Se
0.730 0.270 0.730 Se
0.270 0.730 0.730 Se
```